[1]
Crystalline GaCSe2 at its relaxed geometry, computed with PBE.

```
16
Lattice="5.2536 0.0000 0.0000 0.0000 5.2536 0.0000 0.0000 0.0000 12.3096" Properties=species:S:1:pos:R:3 pbc="T T T"
Ga 0.0000 0.0000 0.0000
Ga 0.0000 2.6268 3.0774
Ga 2.6268 0.0000 9.2322
Ga 2.6268 2.6268 6.1548
C 0.0000 0.0000 6.1548
C 0.0000 2.6268 9.2322
C 2.6268 0.0000 3.0774
C 2.6268 2.6268 0.0000
Se 0.9063 1.3134 7.6935
Se 1.3134 3.5331 10.7709
Se 1.3134 4.3474 4.6161
Se 1.7206 1.3134 1.5387
Se 3.5331 3.9402 1.5387
Se 3.9402 0.9063 4.6161
Se 3.9402 1.7206 10.7709
Se 4.3474 3.9402 7.6935
```

Space group: I-42d, No. 122
Excess energy over the best structure of this formula in the dataset: 166.4 meV/atom

=====

[2]
Crystalline LiCo5As3 at its relaxed geometry, computed with PBE.

```
18
Lattice="1.8533 -6.1549 0.0000 1.8533 6.1549 0.0000 0.0000 0.0000 11.0623" Properties=species:S:1:pos:R:3 pbc="T T T"
Li 1.8533 3.3230 8.2967
Li 1.8533 -3.3230 2.7656
Co 0.0000 0.0000 0.0000
Co 0.0000 0.0000 5.5312
Co 1.8533 3.7787 0.6665
Co 1.8533 3.7787 4.8646
Co 1.8533 0.7131 7.0192
Co 1.8533 0.7131 9.5743
Co 1.8533 -0.7131 1.4880
Co 1.8533 -0.7131 4.0431
Co 1.8533 -3.7787 6.1977
Co 1.8533 -3.7787 10.3958
As 1.8533 4.9142 2.7656
As 1.8533 1.5121 0.7010
As 1.8533 1.5121 4.8301
As 1.8533 -1.5121 6.2322
As 1.8533 -1.5121 10.3613
As 1.8533 -4.9142 8.2967
```

ΔH_f (0 K): -0.21 eV/atom
Space group: Cmcm, No. 63

=====

| no. | total magnetization (μB per formula unit) | raw total energy (eV/atom) | V (Å³ per atom) |
| --- | --- | --- | --- |
| 1 | 0.0 | -3.92 | 21.23 |
| 2 | 1.6 | -5.92 | 14.02 |